1.
CrPtPb2 | the Alexandria database | GGA-PBE | relaxed; crystal system = cubic; space-group type = F-43m; Fermi-level density of states = 1.9 states/eV/cell; E above lowest polymorph = 244 meV/atom
1.0
4.991 0.000 0.000
2.495 4.322 0.000
2.495 1.441 4.075
Cr Pb Pt
1 2 1
Direct
0.500 0.500 0.500
0.000 0.000 0.000
0.250 0.250 0.250
0.750 0.750 0.750

***

2.
Cr2Pt2Pb | the Alexandria database | GGA-PBE | relaxed; crystal system = tetragonal; space-group type = I4/mmm; Fermi-level density of states = 5.0 states/eV/cell; E above lowest polymorph = 113 meV/atom
1.0
3.450 0.000 0.000
0.000 3.450 0.000
1.725 1.725 7.080
Pb Cr Pt
1 2 2
Direct
0.000 0.000 0.000
0.750 0.250 0.500
0.250 0.750 0.500
0.387 0.387 0.225
0.613 0.613 0.775

***

3.
CrPt3Pb | the Alexandria database | GGA-PBE | relaxed; crystal system = cubic; space-group type = Pm-3m; Fermi-level density of states = 8.8 states/eV/cell; E above lowest polymorph = 1215 meV/atom
1.0
5.007 0.000 0.000
0.000 5.007 0.000
0.000 0.000 5.007
Pb Cr Pt
1 1 3
Direct
0.000 0.000 0.000
0.500 0.500 0.500
0.000 0.500 0.000
0.000 0.000 0.500
0.500 0.000 0.000

***

Number 1: energy relative to the elements 362.1 meV/atom, V 88 Å³/f.u.. Number 2: energy relative to the elements 190.2 meV/atom, V 84 Å³/f.u.. Number 3: energy relative to the elements 1795.0 meV/atom, V 126 Å³/f.u..